VASP calculation (PBE with a Hubbard U) on a relaxed CoBi2IO8 crystal.

Cell lengths 4.987, 6.845, 4.990 Å; angles 90.00, 92.35, 90.00 degrees
Space group P2/m (No. 10)
One atom of each set of equivalent atoms:
Co: 0.000 0.000 0.000
Bi: 0.500 0.242 0.500
I: 0.000 0.500 0.000
O: 0.177 0.286 0.826
O: 0.275 0.500 0.279
O: 0.281 0.000 0.282

Summary:
The calculation puts the magnetic moment at 3.38 μB per formula unit. The electronic total energy comes out at -5.25 eV per atom.